## HPtPb2Au (GGA-PBE)

Data for a relaxed HPtPb2Au crystal.

The distance to the lowest polymorph of the same formula is 13 meV/atom. As for the crystal system: tetragonal. The total energy comes out at -4.0064 eV/atom. Its total magnetization is 0.0 Bohr magnetons per cell.

a = 5.564 Å, b = 5.564 Å, c = 3.399 Å
α = 90.00°, β = 90.00°, γ = 90.00°
Space group P4/mmm (No. 123)
Symmetry-distinct sites (fractional):
H  0.000  0.000  0.000 (multiplicity 1)
Pt  0.000  0.000  0.500 (multiplicity 1)
Pb  0.000  0.500  0.500 (multiplicity 2)
Au  0.500  0.500  0.000 (multiplicity 1)

## Zr2ScCu (GGA-PBE)

Data for a relaxed Zr2ScCu crystal.

The distance to the lowest polymorph of the same formula is 464 meV/atom. As for the crystal system: tetragonal. The total energy comes out at -6.5323 eV/atom. As for the formation energy: 0.349 eV per atom. Its total magnetization is 0.0 Bohr magnetons per cell.

a = 4.036 Å, b = 4.036 Å, c = 20.893 Å
α = 90.00°, β = 90.00°, γ = 90.00°
Space group I-42d (No. 122)
Symmetry-distinct sites (fractional):
Zr  0.236  0.250  0.125 (multiplicity 8)
Sc  0.000  0.000  0.500 (multiplicity 4)
Cu  0.000  0.000  0.000 (multiplicity 4)

## TaAlSe4 (GGA-PBE)

Data for a relaxed TaAlSe4 crystal.

The distance to the lowest polymorph of the same formula is 0 meV/atom. As for the crystal system: tetragonal. The total energy comes out at -5.5599 eV/atom. Its total magnetization is 0.0 Bohr magnetons per cell. The value obtained for the formation energy without anion corrections is -0.64 eV per atom.

a = 5.947 Å, b = 5.947 Å, c = 10.444 Å
α = 90.00°, β = 90.00°, γ = 90.00°
Space group I-4 (No. 82)
Symmetry-distinct sites (fractional):
Ta  0.000  0.000  0.000 (multiplicity 2)
Al  0.000  0.500  0.750 (multiplicity 2)
Se  0.236  0.750  0.875 (multiplicity 8)